Mn2Cd3NiO6 PBE with a Hubbard U relaxed; uncorrected energy = -61.92 eV/cell
1.0
8.475 -1.518 0.000
8.475 1.518 0.000
-2.253 0.000 6.050
Mn Cd Ni O
2 3 1 6
direct
0.179 0.179 0.057
0.821 0.821 0.943
0.164 0.164 0.537
0.500 0.500 0.500
0.836 0.836 0.463
0.500 0.500 0.000
0.059 0.059 0.931
0.305 0.305 0.158
0.315 0.315 0.710
0.685 0.685 0.290
0.695 0.695 0.842
0.941 0.941 0.069